The following is a DFT calculation (PBE-GGA) of an optimized crystal structure of KTiHgBi2.

The value obtained for the formation energy is -0.144 eV per atom.

The structure belongs to space group P4/mmm (No. 123); the cell edges are 5.4355, 5.4355 and 5.6313 Å and the angles 90.00°, 90.00° and 90.00°. The distinct sites, in fractional coordinates, are K at (0.0000, 0.0000, 0.0000), Ti at (0.5000, 0.5000, 0.5000), Hg at (0.5000, 0.5000, 0.0000) and Bi at (0.0000, 0.5000, 0.5000).

=====

The following is a DFT calculation (PBE-GGA) of an optimized crystal structure of MnMoRh2.

For the energy above the most stable polymorph in this dataset, the calculation gives 0.020 eV/atom. The value obtained for the formation energy is -0.140 eV per atom.

The structure belongs to space group P2/m (No. 10); the cell edges are 2.7733, 3.7683 and 5.4829 Å and the angles 90.00°, 90.09° and 90.00°. The distinct sites, in fractional coordinates, are Mn at (0.0000, 0.0000, 0.0000), Mo at (0.0000, 0.0000, 0.5000) and Rh at (0.4997, 0.5000, 0.2458).

=====

The following is a DFT calculation (PBE-GGA) of an optimized crystal structure of ReTeRh.

For the energy above the most stable polymorph in this dataset, the calculation gives 0.112 eV/atom. For the uncorrected formation energy, the calculation gives 0.48 eV per atom.

The structure belongs to space group I4mm (No. 107); the cell edges are 3.0701, 3.0701 and 11.2014 Å and the angles 90.00°, 90.00° and 90.00°. The distinct sites, in fractional coordinates, are Re at (0.0000, 0.0000, 0.0000), Te at (0.0000, 0.0000, 0.6619) and Rh at (0.0000, 0.0000, 0.3562).

=====

The following is a DFT calculation (PBE-GGA) of an optimized crystal structure of LiSc3Pb4.

The value obtained for the formation energy is -0.303 eV per atom.

The structure belongs to space group C2/m (No. 12); the cell edges are 17.3719, 4.5499 and 5.0637 Å and the angles 90.00°, 101.13° and 90.00°. The distinct sites, in fractional coordinates, are Li at (0.0000, 0.0000, 0.0000), Sc at (0.0000, 0.5000, 0.5000), Sc at (0.2463, 0.5000, 0.7478), Pb at (0.1228, 0.0000, 0.6423) and Pb at (0.1228, 0.5000, 0.1334).

=====

The following is a DFT calculation (PBE-GGA) of an optimized crystal structure of Tl2Cd2Pd7.

The value obtained for the formation energy is 0.115 eV per atom.

The structure belongs to space group Cmmm (No. 65); the cell edges are 7.7230, 9.2599 and 6.4392 Å and the angles 90.00°, 90.00° and 90.00°. The distinct sites, in fractional coordinates, are Tl at (0.1904, 0.0000, 0.0000), Cd at (0.0000, 0.2907, 0.5000), Pd at (0.0000, 0.0000, 0.5000), Pd at (0.0000, 0.5000, 0.2136) and Pd at (0.2500, 0.2500, 0.2180).

=====

The following is a DFT calculation (PBE-GGA) of an optimized crystal structure of BaSi3.

For the uncorrected formation energy, the calculation gives 0.58 eV per atom.

The structure belongs to space group Fm-3m (No. 225); the cell edges are 7.2236, 7.2236 and 7.2236 Å and the angles 90.00°, 90.00° and 90.00°. The distinct sites, in fractional coordinates, are Ba at (0.0000, 0.0000, 0.0000), Si at (0.0000, 0.0000, 0.5000) and Si at (0.2500, 0.2500, 0.2500).

=====

The following is a DFT calculation (PBE-GGA) of an optimized crystal structure of FeReAu2.

For the energy above the most stable polymorph in this dataset, the calculation gives 0.045 eV/atom. The value obtained for the formation energy is 0.271 eV per atom.

The structure belongs to space group R3m (No. 160, hexagonal axes); the cell edges are 2.7811, 2.7811 and 28.0071 Å and the angles 90.00°, 90.00° and 120.00°. The distinct sites, in fractional coordinates, are Fe at (0.0000, 0.0000, 0.0000), Re at (0.0000, 0.0000, 0.7348), Au at (0.0000, 0.0000, 0.2518) and Au at (0.0000, 0.0000, 0.4911).

=====

The following is a DFT calculation (PBE-GGA) of an optimized crystal structure of TeRu2Se.

For the energy above the most stable polymorph in this dataset, the calculation gives 0.277 eV/atom. For the uncorrected formation energy, the calculation gives 0.34 eV per atom.

The structure belongs to space group P4/mmm (No. 123); the cell edges are 4.5583, 4.5583 and 3.2559 Å and the angles 90.00°, 90.00° and 90.00°. The distinct sites, in fractional coordinates, are Te at (0.0000, 0.0000, 0.0000), Ru at (0.0000, 0.5000, 0.5000) and Se at (0.5000, 0.5000, 0.0000).

=====

The following is a DFT calculation (PBE-GGA) of an optimized crystal structure of TaMn2Os.

For the energy above the most stable polymorph in this dataset, the calculation gives 0.083 eV/atom. The value obtained for the formation energy is -0.006 eV per atom.

The structure belongs to space group Imm2 (No. 44); the cell edges are 3.0820, 4.2357 and 8.5888 Å and the angles 90.00°, 90.00° and 90.00°. The distinct sites, in fractional coordinates, are Ta at (0.0000, 0.0000, 0.0000), Mn at (0.0000, 0.0000, 0.4979), Mn at (0.0000, 0.5000, 0.7575) and Os at (0.0000, 0.5000, 0.2432).

=====

The following is a DFT calculation (PBE-GGA) of an optimized crystal structure of Na4MgTl15.

The value obtained for the formation energy is -0.052 eV per atom.

The structure belongs to space group P4/mmm (No. 123); the cell edges are 4.8179, 4.8179 and 24.8195 Å and the angles 90.00°, 90.00° and 90.00°. The distinct sites, in fractional coordinates, are Na at (0.0000, 0.0000, 0.0998), Na at (0.0000, 0.0000, 0.3014), Mg at (0.0000, 0.0000, 0.5000), Tl at (0.0000, 0.5000, 0.0000), Tl at (0.0000, 0.5000, 0.2000), Tl at (0.0000, 0.5000, 0.4024), Tl at (0.5000, 0.5000, 0.1011), Tl at (0.5000, 0.5000, 0.2999) and Tl at (0.5000, 0.5000, 0.5000).

=====

The following is a DFT calculation (PBE-GGA) of an optimized crystal structure of PmZr2GeO8.

For the uncorrected formation energy, the calculation gives -2.64 eV per atom.

The structure belongs to space group Cmmm (No. 65); the cell edges are 6.7689, 7.0767 and 6.6531 Å and the angles 90.00°, 90.00° and 90.00°. The distinct sites, in fractional coordinates, are Pm at (0.0000, 0.0000, 0.0000), Zr at (0.0000, 0.5000, 0.2537), Ge at (0.0000, 0.0000, 0.5000), O at (0.0000, 0.2885, 0.5000), O at (0.0000, 0.3220, 0.0000) and O at (0.1944, 0.0000, 0.2949).

=====

The following is a DFT calculation (PBE-GGA) of an optimized crystal structure of Cs3Pr2RhO6.

For the uncorrected formation energy, the calculation gives -1.84 eV per atom.

The structure belongs to space group C2/m (No. 12); the cell edges are 6.2166, 10.7568 and 7.1351 Å and the angles 90.00°, 106.74° and 90.00°. The distinct sites, in fractional coordinates, are Cs at (0.0000, 0.0000, 0.0000), Cs at (0.0000, 0.3372, 0.0000), Pr at (0.0000, 0.1671, 0.5000), Rh at (0.0000, 0.5000, 0.5000), O at (0.2096, 0.3461, 0.6669) and O at (0.2477, 0.0000, 0.6691).

=====

The following is a DFT calculation (PBE-GGA) of an optimized crystal structure of VPbBr3.

For the uncorrected formation energy, the calculation gives -0.39 eV per atom.

The structure belongs to space group Pm-3m (No. 221); the cell edges are 5.2121, 5.2121 and 5.2121 Å and the angles 90.00°, 90.00° and 90.00°. The distinct sites, in fractional coordinates, are V at (0.0000, 0.0000, 0.0000), Pb at (0.5000, 0.5000, 0.5000) and Br at (0.0000, 0.0000, 0.5000).

=====

The following is a DFT calculation (PBE-GGA) of an optimized crystal structure of Te2HOs.

For the energy above the most stable polymorph in this dataset, the calculation gives 0.786 eV/atom.

The structure belongs to space group R-3m (No. 166, hexagonal axes); the cell edges are 3.1288, 3.1288 and 25.4861 Å and the angles 90.00°, 90.00° and 120.00°. The distinct sites, in fractional coordinates, are Te at (0.0000, 0.0000, 0.1002), H at (0.0000, 0.0000, 0.5000) and Os at (0.0000, 0.0000, 0.0000).

=====

The following is a DFT calculation (PBE-GGA) of an optimized crystal structure of TmHfAs2.

For the energy above the most stable polymorph in this dataset, the calculation gives 0.092 eV/atom. The value obtained for the formation energy is -1.148 eV per atom.

The structure belongs to space group R3m (No. 160, hexagonal axes); the cell edges are 3.8679, 3.8679 and 20.2862 Å and the angles 90.00°, 90.00° and 120.00°. The distinct sites, in fractional coordinates, are Tm at (0.0000, 0.0000, 0.0000), Hf at (0.0000, 0.0000, 0.8260), As at (0.0000, 0.0000, 0.2406) and As at (0.0000, 0.0000, 0.4189).

=====

The following is a DFT calculation (PBE-GGA) of an optimized crystal structure of Y6TlS4.

For the uncorrected formation energy, the calculation gives -1.57 eV per atom.

The structure belongs to space group Cmcm (No. 63); the cell edges are 3.9459, 13.1513 and 20.1636 Å and the angles 90.00°, 90.00° and 90.00°. The distinct sites, in fractional coordinates, are Y at (0.0000, 0.0000, 0.0000), Y at (0.0000, 0.1529, 0.2500), Y at (0.0000, 0.2719, 0.5834), Y at (0.0000, 0.4610, 0.1575), Tl at (0.0000, 0.1637, 0.7500), S at (0.0000, 0.0939, 0.1214) and S at (0.0000, 0.3624, 0.0396).

=====

The following is a DFT calculation (PBE-GGA) of an optimized crystal structure of CaYTl2.

The value obtained for the formation energy is -0.251 eV per atom.

The structure belongs to space group I-4m2 (No. 119); the cell edges are 4.5769, 4.5769 and 11.1224 Å and the angles 90.00°, 90.00° and 90.00°. The distinct sites, in fractional coordinates, are Ca at (0.0000, 0.0000, 0.0000), Y at (0.0000, 0.5000, 0.2500), Tl at (0.0000, 0.0000, 0.5000) and Tl at (0.0000, 0.5000, 0.7500).

=====

The following is a DFT calculation (PBE-GGA) of an optimized crystal structure of MgNb2Ir.

The value obtained for the formation energy is 0.215 eV per atom.

The structure belongs to space group I-42d (No. 122); the cell edges are 7.6568, 7.6568 and 5.3629 Å and the angles 90.00°, 90.00° and 90.00°. The distinct sites, in fractional coordinates, are Mg at (0.0000, 0.0000, 0.0000), Nb at (0.2003, 0.2500, 0.6250) and Ir at (0.0000, 0.0000, 0.5000).

=====

The following is a DFT calculation (PBE-GGA) of an optimized crystal structure of HfCuC2.

For the energy above the most stable polymorph in this dataset, the calculation gives 0.130 eV/atom. The value obtained for the formation energy is 0.930 eV per atom.

The structure belongs to space group Fm-3m (No. 225); the cell edges are 5.5384, 5.5384 and 5.5384 Å and the angles 90.00°, 90.00° and 90.00°. The distinct sites, in fractional coordinates, are Hf at (0.0000, 0.0000, 0.0000), Cu at (0.0000, 0.0000, 0.5000) and C at (0.2500, 0.2500, 0.2500).

=====

The following is a DFT calculation (PBE-GGA) of an optimized crystal structure of LiMg2Cd8.

For the energy above the most stable polymorph in this dataset, the calculation gives 0.000 eV/atom. The value obtained for the formation energy is -0.092 eV per atom.

The structure belongs to space group C2/m (No. 12); the cell edges are 15.3859, 4.5405 and 7.1275 Å and the angles 90.00°, 107.48° and 90.00°. The distinct sites, in fractional coordinates, are Li at (0.0000, 0.0000, 0.0000), Mg at (0.2271, 0.5000, 0.6426), Cd at (0.0429, 0.5000, 0.7335), Cd at (0.0927, 0.0000, 0.4518), Cd at (0.1366, 0.5000, 0.1808) and Cd at (0.1784, 0.0000, 0.9070).

=====

Number 1: total magnetic moment 0.00 μB/f.u.. Number 2: total magnetic moment 3.03 μB/f.u.. Number 3: total magnetic moment 0.00 μB/f.u.. Number 4: total magnetic moment 1.00 μB/f.u.. Number 5: total magnetic moment 0.00 μB/f.u.. Number 6: total magnetic moment 0.00 μB/f.u.. Number 7: total magnetic moment 0.88 μB/f.u.. Number 8: total magnetic moment 1.28 μB/f.u.. Number 9: total magnetic moment 3.48 μB/f.u.. Number 10: total magnetic moment 0.00 μB/f.u.. Number 11: total magnetic moment 1.01 μB/f.u.. Number 12: total magnetic moment 0.00 μB/f.u.. Number 13: total magnetic moment 3.62 μB/f.u.. Number 14: total magnetic moment 0.00 μB/f.u.. Number 15: total magnetic moment 0.00 μB/f.u.. Number 16: total magnetic moment 0.00 μB/f.u.. Number 17: total magnetic moment 0.00 μB/f.u.. Number 18: total magnetic moment 0.00 μB/f.u.. Number 19: total magnetic moment 0.00 μB/f.u.. Number 20: total magnetic moment 0.00 μB/f.u..